No. 1
InSiOs PBE-GGA relaxed; space group = No. 42; M_tot = 0.00 μB/f.u.; raw formation energy = 0.4668 eV per atom; uncorrected energy = -5.997 eV/atom
1.0
0.0000 2.4639 6.8820
1.5945 0.0000 6.8820
1.5945 2.4639 0.0000
In Si Os
1 1 1
Cartesian
0.0000 0.0000 0.0000 In
1.5945 2.4639 9.6335 Si
1.5945 2.4639 4.4628 Os

***

No. 2
AlRhBr2 PBE-GGA relaxed; space group = No. 166; M_tot = 1.01 μB/f.u.; raw formation energy = 0.2154 eV per atom; uncorrected energy = -3.395 eV/atom
1.0
2.0939 1.2089 5.8073
-2.0939 1.2089 5.8073
0.0000 -2.4179 5.8073
Al Rh Br
1 1 2
Cartesian
0.0000 0.0000 0.0000 Al
0.0000 0.0000 8.7109 Rh
0.0000 0.0000 4.1700 Br
0.0000 0.0000 13.2519 Br

***

No. 3
TbDy2Ho12 PBE-GGA relaxed; space group = No. 10; M_tot = 0.00 μB/f.u.; ΔE_f = 0.1177 eV per atom; uncorrected energy = -4.467 eV/atom
1.0
3.5279 0.0000 0.0000
0.0000 5.5348 0.0000
-1.7514 0.0000 24.0758
Tb Dy Ho
1 2 12
Cartesian
0.0000 0.0000 0.0000 Tb
0.0219 0.0000 17.5321 Dy
1.7546 0.0000 6.5438 Dy
-0.0101 0.0000 3.3058 Ho
-0.0136 2.7674 4.8469 Ho
-0.0039 2.7674 7.9509 Ho
0.0098 0.0000 10.2522 Ho
0.0022 2.7674 13.3651 Ho
0.0232 2.7674 22.2928 Ho
1.7533 2.7674 1.7830 Ho
1.7743 2.7674 10.7107 Ho
1.7667 0.0000 13.8236 Ho
1.7803 2.7674 16.1250 Ho
1.7901 2.7674 19.2289 Ho
1.7865 0.0000 20.7701 Ho

***

No. 4
CaSi2Se PBE-GGA relaxed; space group = No. 8; M_tot = 0.00 μB/f.u.; raw formation energy = -0.6510 eV per atom; uncorrected energy = -4.734 eV/atom
1.0
3.1455 -2.3315 0.0000
3.1455 2.3315 0.0000
-0.7066 0.0000 12.1984
Ca Si Se
2 4 2
Cartesian
0.0000 0.0000 0.0000 Ca
3.8356 0.0000 8.6873 Ca
-0.3567 0.0000 6.4452 Si
0.8513 0.0000 4.3059 Si
3.4754 0.0000 5.7388 Si
4.7696 0.0000 3.7023 Si
1.5069 0.0000 10.3144 Se
3.8260 0.0000 1.5236 Se

***

No. 5
Nd4DyMg5 PBE-GGA relaxed; space group = No. 123; M_tot = 0.00 μB/f.u.; ΔE_f = -0.1033 eV per atom; uncorrected energy = -3.268 eV/atom
1.0
3.8620 0.0000 0.0000
0.0000 3.8620 0.0000
0.0000 0.0000 19.3983
Nd Dy Mg
4 1 5
Cartesian
0.0000 0.0000 1.9679 Nd
0.0000 0.0000 5.8942 Nd
0.0000 0.0000 13.5042 Nd
0.0000 0.0000 17.4305 Nd
0.0000 0.0000 9.6992 Dy
1.9310 1.9310 0.0000 Mg
1.9310 1.9310 3.9296 Mg
1.9310 1.9310 7.8623 Mg
1.9310 1.9310 11.5361 Mg
1.9310 1.9310 15.4687 Mg

***

No. 6
TbNd2HgC PBE-GGA relaxed; space group = No. 123; M_tot = 0.00 μB/f.u.; ΔE_f = -0.2496 eV per atom; uncorrected energy = -4.988 eV/atom
1.0
5.1364 0.0000 0.0000
0.0000 5.1364 0.0000
0.0000 0.0000 4.8822
Tb Nd Hg C
1 2 1 1
Cartesian
0.0000 0.0000 0.0000 Tb
0.0000 2.5682 2.4411 Nd
2.5682 0.0000 2.4411 Nd
2.5682 2.5682 0.0000 Hg
0.0000 0.0000 2.4411 C

***

No. 7
Pa4Re PBE-GGA relaxed; space group = No. 221; M_tot = 0.50 μB/f.u.; ΔE_f = 0.6671 eV per atom; uncorrected energy = -9.419 eV/atom
1.0
5.2789 0.0000 0.0000
0.0000 5.2789 0.0000
0.0000 0.0000 5.2789
Pa Re
4 1
Cartesian
0.0000 0.0000 0.0000 Pa
0.0000 2.6394 2.6394 Pa
2.6394 0.0000 2.6394 Pa
2.6394 2.6394 0.0000 Pa
2.6394 2.6394 2.6394 Re

***

No. 8
KNa2Ga PBE-GGA relaxed; space group = No. 166; M_tot = 0.00 μB/f.u.; ΔE_f = 0.2699 eV per atom; uncorrected energy = -1.421 eV/atom
1.0
1.8138 1.0472 13.2711
-1.8138 1.0472 13.2711
0.0000 -2.0944 13.2711
K Na Ga
1 2 1
Cartesian
0.0000 0.0000 0.0000 K
0.0000 0.0000 16.8681 Na
0.0000 0.0000 22.9454 Na
0.0000 0.0000 19.9067 Ga